Material: Be2Ga2Pt
Method: DFT, PBE
State: relaxed

offset from the most stable computed form: 252 meV/atom
E_form: 0.811 eV per formula unit
symmetry: I4/mmm
total magnetic moment: 0.00 Bohr magnetons per cell
E: -3.747 eV per atom

Unit cell a=3.4763 b=3.4763 c=6.1505 alpha=73.58 beta=73.58 gamma=90.00
Atoms (fractional coordinates):
1 Be 0.4081 0.4081 0.1838
2 Be 0.5919 0.5919 0.8162
3 Ga 0.7500 0.2500 0.5000
4 Ga 0.2500 0.7500 0.5000
5 Pt 0.0000 0.0000 0.0000